VASP calculation (PBE) on a geometry-optimized Al2Pd8Pb structure.

Structure (POSCAR):
```
Al2Pd8Pb
1.0
-1.272 -4.014 -1.243
5.108 -0.752 -3.517
1.223 -0.211 7.489
Al Pd Pb
2 8 1
Cartesian
2.385 -3.776 -1.428
1.577 -2.303 2.756
1.515 -2.796 5.245
-0.374 -4.075 3.024
1.735 -1.554 0.131
-0.687 -3.179 0.332
4.293 -2.109 -1.133
1.742 -4.264 1.040
3.509 -0.891 4.983
3.933 -2.726 1.525
5.614 -1.440 3.413
```

Output
**Crystal system**: triclinic
**Calculated total energy**: -57.90 eV for the cell shown
**Calculated formation energy**: -0.4690 eV per atom